Record 1
Here is a geometry-optimized Na8SrLi4 structure from Alexandria via LeMat-Bulk. Energies are from GGA-PBE.

Calculated values
Its formation enthalpy at 0 K is 37 meV/atom. The value obtained for the total magnetic moment is 0.00 μB/atom.

a b c (Å): 11.587 11.587 6.370
angles (deg): 90.00 90.00 90.00
Space group I4/mmm (No. 139)
Inequivalent atoms, fractional coordinates:
Na: 0.000 0.215 0.000
Na: 0.000 0.347 0.500
Sr: 0.000 0.000 0.500
Li: 0.250 0.250 0.250



Record 2
Here is a geometry-optimized Rb2HfPbS4 structure from Alexandria via LeMat-Bulk. Energies are from GGA-PBE.

Calculated values
The formation energy (no corrections) is -1204 meV per atom. The value obtained for the total magnetic moment is 0.00 μB/atom.

a b c (Å): 7.287 3.996 7.905
angles (deg): 90.00 106.25 90.00
Space group P2/m (No. 10)
Inequivalent atoms, fractional coordinates:
Rb: 0.000 0.000 0.000
Rb: 0.500 0.500 0.000
Hf: 0.000 0.500 0.500
Pb: 0.500 0.000 0.500
S: 0.199 0.000 0.685
S: 0.227 0.500 0.307



Record 3
Here is a geometry-optimized TbY3Zn8 structure from Alexandria via LeMat-Bulk. Energies are from GGA-PBE.

Calculated values
Its formation enthalpy at 0 K is -341 meV/atom. The value obtained for the total magnetic moment is 0.00 μB/atom.

a b c (Å): 5.4846 5.4846 26.7194
angles (deg): 90.00 90.00 120.00
Space group R3m (No. 160, hexagonal axes)
Inequivalent atoms, fractional coordinates:
Tb: 0.0000 0.0000 0.0000
Y: 0.0000 0.0000 0.1245
Y: 0.0000 0.0000 0.5005
Y: 0.0000 0.0000 0.6254
Zn: 0.0000 0.0000 0.3127
Zn: 0.0000 0.0000 0.8125
Zn: 0.9996 0.4998 0.5625
Zn: 0.0006 0.5003 0.0627